Below is a relaxed structure of PuZnGa, with properties calculated at the GGA-PBE level.

Calculated values
The calculation puts the final energy at -6.334 eV per atom. The magnetization comes out at 93.635 μB/cell. The calculated volume is 63.1 Å³/f.u. The value obtained for the formation energy is -0.123 eV/atom.

Geometry as CIF:
```
data_PuZnGa
_space_group_name_H-M_alt 'F d d d'
_space_group_IT_number 70
_cell_length_a 7.7815
_cell_length_b 9.5751
_cell_length_c 13.5463
_cell_angle_alpha 90.00
_cell_angle_beta 90.00
_cell_angle_gamma 90.00
loop_
_space_group_symop_operation_xyz
'x,y,z'
'-x,-y,-z'
'-x+1/4,-y+1/4,z'
'x+1/4,y+1/4,-z'
'x,-y+1/4,-z+1/4'
'-x,y+1/4,z+1/4'
'-x+1/4,y,-z+1/4'
'x+1/4,-y,z+1/4'
'x,y+1/2,z+1/2'
'-x,-y+1/2,-z+1/2'
'-x+1/4,-y+3/4,z+1/2'
'x+1/4,y+3/4,-z+1/2'
'x,-y+3/4,-z+3/4'
'-x,y+3/4,z+3/4'
'-x+1/4,y+1/2,-z+3/4'
'x+1/4,-y+1/2,z+3/4'
'x+1/2,y,z+1/2'
'-x+1/2,-y,-z+1/2'
'-x+3/4,-y+1/4,z+1/2'
'x+3/4,y+1/4,-z+1/2'
'x+1/2,-y+1/4,-z+3/4'
'-x+1/2,y+1/4,z+3/4'
'-x+3/4,y,-z+3/4'
'x+3/4,-y,z+3/4'
'x+1/2,y+1/2,z'
'-x+1/2,-y+1/2,-z'
'-x+3/4,-y+3/4,z'
'x+3/4,y+3/4,-z'
'x+1/2,-y+3/4,-z+1/4'
'-x+1/2,y+3/4,z+1/4'
'-x+3/4,y+1/2,-z+1/4'
'x+3/4,-y+1/2,z+1/4'
loop_
_atom_site_label
_atom_site_fract_x
_atom_site_fract_y
_atom_site_fract_z
Pu1 0.0000 0.0000 0.0000
Zn1 0.1250 0.2531 0.6250
Ga1 0.1250 0.1250 0.4560
```

=====

Below is a relaxed structure of TlIn2Sb, with properties calculated at the GGA-PBE level.

Calculated values
The calculation puts the final energy at -2.959 eV per atom. The magnetization comes out at 0.000 μB/cell. The calculated volume is 128.9 Å³/f.u. As for the raw formation energy: 0.032 eV/atom. Its relative energy among the computed polymorphs is 5 kJ/mol of formula units.

Geometry as CIF:
```
data_TlIn2Sb
_space_group_name_H-M_alt 'R 3 m'
_space_group_IT_number 160
_space_group_name_Hall 'R 3 -2"'
_cell_length_a 4.5405
_cell_length_b 4.5405
_cell_length_c 21.6606
_cell_angle_alpha 90.00
_cell_angle_beta 90.00
_cell_angle_gamma 120.00
loop_
_atom_site_label
_atom_site_fract_x
_atom_site_fract_y
_atom_site_fract_z
Tl1 0.0000 0.0000 0.0000
In1 0.0000 0.0000 0.5737
In2 0.0000 0.0000 0.7596
Sb1 0.0000 0.0000 0.1679
```

=====

Below is a relaxed structure of Y2TlTc, with properties calculated at the GGA-PBE level.

Calculated values
The calculation puts the final energy at -6.384 eV per atom. The magnetization comes out at 0.000 μB/cell. The calculated volume is 97.2 Å³/f.u. The value obtained for the formation energy is 0.031 eV/atom.

Geometry as CIF:
```
data_Y2TlTc
_space_group_name_H-M_alt 'C 1 m 1'
_space_group_IT_number 8
_cell_length_a 11.9754
_cell_length_b 3.5680
_cell_length_c 5.0012
_cell_angle_alpha 90.00
_cell_angle_beta 114.52
_cell_angle_gamma 90.00
loop_
_space_group_symop_operation_xyz
'x,y,z'
'x,-y,z'
'x+1/2,y+1/2,z'
'x+1/2,-y+1/2,z'
loop_
_atom_site_label
_atom_site_fract_x
_atom_site_fract_y
_atom_site_fract_z
Y1 0.0000 0.0000 0.0000
Y2 0.2076 0.0000 0.7069
Tl1 0.2859 0.5000 0.2847
Tc1 0.4910 0.0000 0.4909
```

=====

Below is a relaxed structure of Li2NdTm, with properties calculated at the GGA-PBE level.

Calculated values
The calculation puts the final energy at -3.115 eV per atom. The magnetization comes out at 0.000 μB/cell. The calculated volume is 104.6 Å³/f.u. The value obtained for the formation energy is 0.152 eV/atom. Its relative energy among the computed polymorphs is 0 kJ/mol of formula units.

Geometry as CIF:
```
data_Li2NdTm
_space_group_name_H-M_alt 'P 4/m m m'
_space_group_IT_number 123
_space_group_name_Hall '-P 4 2'
_cell_length_a 3.7235
_cell_length_b 3.7235
_cell_length_c 7.5459
_cell_angle_alpha 90.00
_cell_angle_beta 90.00
_cell_angle_gamma 90.00
loop_
_atom_site_label
_atom_site_fract_x
_atom_site_fract_y
_atom_site_fract_z
Li1 0.0000 0.0000 0.2423
Nd1 0.5000 0.5000 0.5000
Tm1 0.5000 0.5000 0.0000
```

=====

Below is a relaxed structure of Ca2PaBr8, with properties calculated at the GGA-PBE level.

Calculated values
The calculation puts the final energy at -4.084 eV per atom. The magnetization comes out at 1.006 μB/cell. The calculated volume is 419.6 Å³/f.u. As for the raw formation energy: -1.640 eV/atom.

Geometry as CIF:
```
data_Ca2PaBr8
_space_group_name_H-M_alt 'P -3 m 1'
_space_group_IT_number 164
_space_group_name_Hall '-P 3 2"'
_cell_length_a 9.1078
_cell_length_b 9.1078
_cell_length_c 5.8408
_cell_angle_alpha 90.00
_cell_angle_beta 90.00
_cell_angle_gamma 120.00
loop_
_atom_site_label
_atom_site_fract_x
_atom_site_fract_y
_atom_site_fract_z
Ca1 0.3333 0.6667 0.2186
Pa1 0.0000 0.0000 0.0000
Br1 0.1509 0.3018 0.2557
Br2 0.3333 0.6667 0.7262
```

=====

Below is a relaxed structure of Al2TlAg, with properties calculated at the GGA-PBE level.

Calculated values
The calculation puts the final energy at -2.966 eV per atom. The magnetization comes out at 0.000 μB/cell. The calculated volume is 83.7 Å³/f.u. The value obtained for the formation energy is 0.210 eV/atom.

Geometry as CIF:
```
data_Al2TlAg
_space_group_name_H-M_alt 'I m m m'
_space_group_IT_number 71
_space_group_name_Hall '-I 2 2'
_cell_length_a 3.0187
_cell_length_b 5.3924
_cell_length_c 10.2793
_cell_angle_alpha 90.00
_cell_angle_beta 90.00
_cell_angle_gamma 90.00
loop_
_atom_site_label
_atom_site_fract_x
_atom_site_fract_y
_atom_site_fract_z
Al1 0.0000 0.0000 0.2293
Tl1 0.0000 0.5000 0.0000
Ag1 0.0000 0.5000 0.5000
```

=====

Below is a relaxed structure of NdSmAu3, with properties calculated at the GGA-PBE level.

Calculated values
The calculation puts the final energy at -4.617 eV per atom. The magnetization comes out at 0.000 μB/cell. The calculated volume is 120.4 Å³/f.u. The value obtained for the formation energy is -0.753 eV/atom.

Geometry as CIF:
```
data_NdSmAu3
_space_group_name_H-M_alt 'P 1 21/c 1'
_space_group_IT_number 14
_cell_length_a 9.5407
_cell_length_b 6.4954
_cell_length_c 7.7799
_cell_angle_alpha 90.00
_cell_angle_beta 92.43
_cell_angle_gamma 90.00
loop_
_space_group_symop_operation_xyz
'x,y,z'
'-x,-y,-z'
'-x,y+1/2,-z+1/2'
'x,-y+1/2,z+1/2'
loop_
_atom_site_label
_atom_site_fract_x
_atom_site_fract_y
_atom_site_fract_z
Nd1 0.0984 0.1540 0.1906
Sm1 0.4216 0.6716 0.6788
Au1 0.1236 0.6443 0.0357
Au2 0.2556 0.5071 0.3711
Au3 0.3639 0.1183 0.5196
```

=====

Below is a relaxed structure of Nd6Tm2In3, with properties calculated at the GGA-PBE level.

Calculated values
The calculation puts the final energy at -3.967 eV per atom. The magnetization comes out at 0.000 μB/cell. The calculated volume is 369.3 Å³/f.u. The value obtained for the formation energy is 0.193 eV/atom.

Geometry as CIF:
```
data_Nd6Tm2In3
_space_group_name_H-M_alt 'I 4/m m m'
_space_group_IT_number 139
_space_group_name_Hall '-I 4 2'
_cell_length_a 5.4944
_cell_length_b 5.4944
_cell_length_c 24.4674
_cell_angle_alpha 90.00
_cell_angle_beta 90.00
_cell_angle_gamma 90.00
loop_
_atom_site_label
_atom_site_fract_x
_atom_site_fract_y
_atom_site_fract_z
Nd1 0.0000 0.0000 0.1980
Nd2 0.0000 0.5000 0.0978
Tm1 0.0000 0.0000 0.0583
In1 0.0000 0.0000 0.3274
In2 0.0000 0.0000 0.5000
```

=====

Below is a relaxed structure of CePO4, with properties calculated at the GGA-PBE level.

Calculated values
The calculation puts the final energy at -8.103 eV per atom. The magnetization comes out at 4.001 μB/cell. The calculated volume is 81.9 Å³/f.u. As for the raw formation energy: -2.907 eV/atom. Its relative energy among the computed polymorphs is 8 kJ/mol of formula units.

Geometry as CIF:
```
data_CePO4
_space_group_name_H-M_alt 'I 41/a m d'
_space_group_IT_number 141
_cell_length_a 7.2155
_cell_length_b 7.2155
_cell_length_c 6.2931
_cell_angle_alpha 90.00
_cell_angle_beta 90.00
_cell_angle_gamma 90.00
loop_
_space_group_symop_operation_xyz
'x,y,z'
'-x,-y,-z'
'-y+1/4,x+3/4,z+1/4'
'y+1/4,-x+3/4,-z+1/4'
'-x+1/2,-y,z+1/2'
'x+1/2,y,-z+1/2'
'y+1/4,-x+1/4,z+3/4'
'-y+1/4,x+1/4,-z+3/4'
'x,-y,-z'
'-x,y,z'
'-y+1/4,-x+1/4,-z+3/4'
'y+1/4,x+1/4,z+3/4'
'-x+1/2,y,-z+1/2'
'x+1/2,-y,z+1/2'
'y+1/4,x+3/4,-z+1/4'
'-y+1/4,-x+3/4,z+1/4'
'x+1/2,y+1/2,z+1/2'
'-x+1/2,-y+1/2,-z+1/2'
'-y+3/4,x+1/4,z+3/4'
'y+3/4,-x+1/4,-z+3/4'
'-x,-y+1/2,z'
'x,y+1/2,-z'
'y+3/4,-x+3/4,z+1/4'
'-y+3/4,x+3/4,-z+1/4'
'x+1/2,-y+1/2,-z+1/2'
'-x+1/2,y+1/2,z+1/2'
'-y+3/4,-x+3/4,-z+1/4'
'y+3/4,x+3/4,z+1/4'
'-x,y+1/2,-z'
'x,-y+1/2,z'
'y+3/4,x+1/4,-z+3/4'
'-y+3/4,-x+1/4,z+3/4'
loop_
_atom_site_label
_atom_site_fract_x
_atom_site_fract_y
_atom_site_fract_z
Ce1 0.0000 0.2500 0.3750
P1 0.0000 0.2500 0.8750
O1 0.0000 0.0800 0.7225
```

=====

Below is a relaxed structure of TbDySi2, with properties calculated at the GGA-PBE level.

Calculated values
The calculation puts the final energy at -5.533 eV per atom. The magnetization comes out at 0.000 μB/cell. The calculated volume is 92.9 Å³/f.u. As for the raw formation energy: -0.514 eV/atom. Its relative energy among the computed polymorphs is 121 kJ/mol of formula units.

Geometry as CIF:
```
data_TbDySi2
_space_group_name_H-M_alt 'R -3 m'
_space_group_IT_number 166
_space_group_name_Hall '-R 3 2"'
_cell_length_a 4.5952
_cell_length_b 4.5952
_cell_length_c 15.2332
_cell_angle_alpha 90.00
_cell_angle_beta 90.00
_cell_angle_gamma 120.00
loop_
_atom_site_label
_atom_site_fract_x
_atom_site_fract_y
_atom_site_fract_z
Tb1 0.0000 0.0000 0.0000
Dy1 0.0000 0.0000 0.5000
Si1 0.0000 0.0000 0.2490
```

=====

Below is a relaxed structure of Cr2P2Rh, with properties calculated at the GGA-PBE level.

Calculated values
The calculation puts the final energy at -7.816 eV per atom. The magnetization comes out at 4.605 μB/cell. The calculated volume is 61.7 Å³/f.u. The value obtained for the formation energy is -0.333 eV/atom. Its relative energy among the computed polymorphs is 0 kJ/mol of formula units.

Geometry as CIF:
```
data_Cr2P2Rh
_space_group_name_H-M_alt 'P 4/m b m'
_space_group_IT_number 127
_space_group_name_Hall '-P 4 2ab'
_cell_length_a 6.5539
_cell_length_b 6.5539
_cell_length_c 2.8751
_cell_angle_alpha 90.00
_cell_angle_beta 90.00
_cell_angle_gamma 90.00
loop_
_atom_site_label
_atom_site_fract_x
_atom_site_fract_y
_atom_site_fract_z
Cr1 0.1419 0.3581 0.0000
P1 0.1533 0.6533 0.5000
Rh1 0.0000 0.0000 0.5000
```

=====

Below is a relaxed structure of EuEr2Ag, with properties calculated at the GGA-PBE level.

Calculated values
The calculation puts the final energy at -5.465 eV per atom. The magnetization comes out at 30.866 μB/cell. The calculated volume is 110.3 Å³/f.u. The value obtained for the formation energy is 0.098 eV/atom. Its relative energy among the computed polymorphs is 68 kJ/mol of formula units.

Geometry as CIF:
```
data_EuEr2Ag
_space_group_name_H-M_alt 'F m -3 m'
_space_group_IT_number 225
_space_group_name_Hall '-F 4 2 3'
_cell_length_a 7.6126
_cell_length_b 7.6126
_cell_length_c 7.6126
_cell_angle_alpha 90.00
_cell_angle_beta 90.00
_cell_angle_gamma 90.00
loop_
_atom_site_label
_atom_site_fract_x
_atom_site_fract_y
_atom_site_fract_z
Eu1 0.0000 0.0000 0.0000
Er1 0.2500 0.2500 0.2500
Ag1 0.0000 0.0000 0.5000
```

=====

The lowest calculated volume belongs to which entry?
Cr2P2Rh